(1)
GGA-PBE Rh3W, optimized geometry; energy = -35.48 eV/f.u.; DFT formation energy = -119 meV/atom; size of the total moment = 0.00 μB/cell
1.0
2.726 -3.883 0.000
2.726 3.883 0.000
0.000 0.000 2.751
Rh W
3 1
Direct
0.000 0.000 0.000
0.000 0.500 0.500
0.500 0.000 0.500
0.500 0.500 0.000

(2)
GGA-PBE BaBeN3, optimized geometry; energy = -16.23 eV/f.u.; size of the total moment = 2.06 μB/cell; formation energy (no corrections) = 1389 kJ/mol of formula units
1.0
4.528 0.000 0.000
0.000 4.528 0.000
0.000 0.000 4.528
Ba Be N
1 1 3
Direct
0.000 0.000 0.000
0.500 0.500 0.500
0.000 0.000 0.500
0.000 0.500 0.000
0.500 0.000 0.000

(3)
GGA-PBE LiAcEuSb, optimized geometry; energy = -22.31 eV/f.u.; size of the total moment = 7.92 μB/cell; formation energy (no corrections) = -183 kJ/mol of formula units
1.0
0.000 3.970 3.970
3.970 0.000 3.970
3.970 3.970 0.000
Li Ac Eu Sb
1 1 1 1
Direct
0.000 0.000 0.000
0.250 0.250 0.250
0.750 0.750 0.750
0.500 0.500 0.500

(4)
GGA-PBE ErRu2PbO8, optimized geometry; energy = -82.28 eV/f.u.; size of the total moment = 3.02 μB/cell; formation energy (no corrections) = -1524 kJ/mol of formula units
1.0
5.928 0.000 0.000
-2.964 5.134 0.000
0.000 0.000 7.111
Er Ru Pb O
1 2 1 8
Direct
0.000 0.000 0.000
0.333 0.667 0.280
0.667 0.333 0.720
0.000 0.000 0.500
0.162 0.325 0.207
0.162 0.838 0.207
0.325 0.162 0.793
0.333 0.667 0.529
0.667 0.333 0.471
0.675 0.838 0.207
0.838 0.162 0.793
0.838 0.675 0.793

(5)
GGA-PBE NaAc5Ge4, optimized geometry; energy = -44.64 eV/f.u.; DFT formation energy = -431 meV/atom; size of the total moment = 0.48 μB/cell
1.0
-5.086 5.086 3.338
5.086 -5.086 3.338
5.086 5.086 -3.338
Na Ac Ge
1 5 4
Direct
0.000 0.000 0.000
0.114 0.689 0.216
0.458 0.458 0.000
0.473 0.897 0.784
0.689 0.473 0.576
0.897 0.114 0.424
0.003 0.395 0.820
0.183 0.003 0.609
0.395 0.574 0.391
0.574 0.183 0.180

(6)
GGA-PBE B7C3, optimized geometry; energy = -70.35 eV/f.u.; DFT formation energy = 406 meV/atom; excess energy over the best structure of this formula in the dataset = 0.114 eV per atom; size of the total moment = 0.00 μB/cell
1.0
-1.169 1.239 11.840
1.169 -1.239 11.840
1.169 1.239 -11.840
B C
7 3
Direct
0.000 0.000 0.000
0.057 0.557 0.500
0.185 0.185 0.000
0.389 0.389 0.000
0.446 0.946 0.500
0.777 0.777 0.000
0.834 0.334 0.500
0.234 0.734 0.500
0.603 0.603 0.000
0.639 0.139 0.500

(7)
GGA-PBE NbHgAsSe2, optimized geometry; energy = -16.18 eV/f.u.; excess energy over the best structure of this formula in the dataset = 1.186 eV per atom; size of the total moment = 1.86 μB/cell; formation energy (no corrections) = 561 kJ/mol of formula units
1.0
5.159 0.000 0.000
0.000 5.159 0.000
0.000 0.000 5.083
Nb Hg As Se
1 1 1 2
Direct
0.000 0.000 0.000
0.500 0.500 0.500
0.500 0.500 0.000
0.000 0.500 0.500
0.500 0.000 0.500

(8)
GGA-PBE TcPbSe, optimized geometry; energy = -17.53 eV/f.u.; excess energy over the best structure of this formula in the dataset = 0.000 eV per atom; size of the total moment = 0.00 μB/cell; formation energy (no corrections) = 2 kJ/mol of formula units
1.0
3.262 0.000 0.000
-1.631 2.825 0.000
0.000 0.000 7.957
Tc Pb Se
1 1 1
Direct
0.000 0.000 0.000
0.667 0.333 0.300
0.333 0.667 0.803

(9)
GGA-PBE Ga2Br2N, optimized geometry; energy = -16.14 eV/f.u.; excess energy over the best structure of this formula in the dataset = 0.090 eV per atom; size of the total moment = 0.00 μB/cell; formation energy (no corrections) = 153 kJ/mol of formula units
1.0
5.689 0.000 0.000
0.000 5.689 0.000
0.000 0.000 5.880
Ga Br N
4 4 2
Direct
0.164 0.336 0.000
0.336 0.836 0.000
0.664 0.164 0.000
0.836 0.664 0.000
0.196 0.304 0.500
0.304 0.804 0.500
0.696 0.196 0.500
0.804 0.696 0.500
0.000 0.000 0.000
0.500 0.500 0.000

(10)
GGA-PBE Cd3CoSb, optimized geometry; energy = -11.48 eV/f.u.; excess energy over the best structure of this formula in the dataset = 0.000 eV per atom; size of the total moment = 0.95 μB/cell; formation energy (no corrections) = 241 kJ/mol of formula units
1.0
4.978 0.000 0.000
0.000 4.978 0.000
0.000 0.000 4.978
Cd Co Sb
3 1 1
Direct
0.000 0.000 0.500
0.000 0.500 0.000
0.500 0.000 0.000
0.000 0.000 0.000
0.500 0.500 0.500

(11)
GGA-PBE Cs3Rb4CdH8, optimized geometry; energy = -34.80 eV/f.u.; size of the total moment = 0.00 μB/cell
1.0
7.392 -4.224 0.000
7.392 4.224 0.000
-4.773 0.000 6.917
Cs Rb Cd H
3 4 1 8
Direct
0.000 0.000 0.000
0.000 0.500 0.500
0.500 0.000 0.500
0.000 0.000 0.500
0.000 0.500 0.000
0.500 0.000 0.000
0.500 0.500 0.500
0.500 0.500 0.000
0.236 0.236 0.749
0.258 0.258 0.245
0.325 0.671 0.174
0.329 0.675 0.826
0.671 0.325 0.174
0.675 0.329 0.826
0.742 0.742 0.755
0.764 0.764 0.251

(12)
GGA-PBE SbBr4, optimized geometry; energy = -11.68 eV/f.u.; excess energy over the best structure of this formula in the dataset = 0.214 eV per atom; size of the total moment = 0.87 μB/cell; formation energy (no corrections) = -84 kJ/mol of formula units
1.0
-5.178 5.178 1.862
5.178 -5.178 1.862
5.178 5.178 -1.862
Sb Br
1 4
Direct
0.000 0.000 0.000
0.289 0.423 0.711
0.423 0.711 0.134
0.577 0.289 0.866
0.711 0.577 0.289

Number 1: density of states at the Fermi level 0.993 states/eV/atom, theoretical density 14.04 g/cm3. Number 2: density of states at the Fermi level 0.802 states/eV/atom, theoretical density 3.37 g/cm3. Number 3: density of states at the Fermi level 0.784 states/eV/atom, theoretical density 6.74 g/cm3. Number 4: density of states at the Fermi level 0.448 states/eV/atom, theoretical density 5.41 g/cm3. Number 5: density of states at the Fermi level 1.091 states/eV/atom, theoretical density 6.96 g/cm3. Number 6: density of states at the Fermi level 0.212 states/eV/atom, theoretical density 2.70 g/cm3. Number 7: density of states at the Fermi level 1.296 states/eV/atom, theoretical density 6.46 g/cm3. Number 8: density of states at the Fermi level 0.568 states/eV/atom, theoretical density 8.70 g/cm3. Number 9: density of states at the Fermi level 0.403 states/eV/atom, theoretical density 5.47 g/cm3. Number 10: density of states at the Fermi level 1.158 states/eV/atom, theoretical density 6.97 g/cm3. Number 11: density of states at the Fermi level 0.150 states/eV/atom, theoretical density 3.31 g/cm3. Number 12: density of states at the Fermi level 1.120 states/eV/atom, theoretical density 3.67 g/cm3.